Entry 1:
Computed, not measured: a relaxed structure of Rb2Ge7Pt12 at the GGA-PBE level of DFT.

The structure in POSCAR format:
```
Rb2Ge7Pt12
1.0
3.997 0.000 0.000
0.000 9.017 -5.206
0.000 0.000 10.412
Ge Pt Rb
7 12 2
Cartesian
0.000 3.006 5.206
0.000 0.470 7.919
1.998 4.005 -1.585
1.998 8.388 -0.945
0.000 6.623 6.046
0.000 1.925 1.654
1.998 5.642 2.530
0.000 0.581 5.387
0.000 4.375 7.216
1.998 3.488 0.963
0.000 6.993 3.491
1.998 6.440 -2.667
0.000 4.061 3.016
1.998 2.059 7.214
1.998 8.108 1.704
0.000 2.498 -0.896
0.000 8.544 -2.595
1.998 5.218 5.022
1.998 1.740 3.382
0.000 6.012 0.000
1.998 0.000 0.000
```

- Space-group type: No. 174
- Formation enthalpy at 0 K: -0.36 eV per atom
- D(E_F): 10.50 states/eV/cell

Entry 2:
Computed, not measured: a relaxed structure of La2BeSi3Ni12 at the GGA-PBE level of DFT.

The structure in POSCAR format:
```
La2BeSi3Ni12
1.0
-1.402 1.567 8.152
0.474 -4.324 7.208
4.628 0.348 7.024
Ni La Be Si
12 2 1 3
Cartesian
2.741 -2.048 9.884
3.022 0.052 5.679
4.302 -3.194 16.028
-0.602 0.785 6.357
0.959 -0.361 12.501
0.313 -1.558 10.338
1.715 -2.734 12.121
1.985 0.324 10.264
3.174 0.346 16.596
0.678 -2.462 16.706
0.526 -2.756 5.789
3.388 -0.852 12.047
2.443 -1.591 14.781
1.257 -0.819 7.604
0.000 0.000 0.000
2.314 0.174 3.512
-0.701 0.783 4.076
0.237 -2.162 3.604
```

- Energy relative to the elements, uncorrected: -152 meV per atom
- Space-group type: No. 166
- D(E_F): 4.91 states/eV/cell

Entry 3:
Computed, not measured: a relaxed structure of TlSBr at the GGA-PBE level of DFT.

The structure in POSCAR format:
```
TlSBr
1.0
4.698 0.015 0.336
-0.030 4.698 0.336
0.156 0.158 11.179
S Br Tl
2 2 2
Cartesian
0.438 0.442 6.396
4.386 4.428 5.456
3.399 3.432 1.964
1.425 1.439 9.888
3.766 3.802 9.988
1.058 1.068 1.863
```

- Energy relative to the elements, uncorrected: -389 meV per atom
- Space-group type: No. 12

Entry 4:
Computed, not measured: a relaxed structure of NiAs3Cl at the GGA-PBE level of DFT.

The structure in POSCAR format:
```
NiAs3Cl
1.0
4.792 0.000 0.000
0.000 4.792 0.000
0.000 0.000 4.792
As Ni Cl
3 1 1
Cartesian
0.000 2.396 0.000
0.000 0.000 2.396
2.396 0.000 0.000
2.396 2.396 2.396
0.000 0.000 0.000
```

- Relative energy among the computed polymorphs: 917 meV per atom
- Energy relative to the elements, uncorrected: 1390 meV per atom
- Space-group type: No. 221
- D(E_F): 4.37 states/eV/cell

Entry 5:
Computed, not measured: a relaxed structure of CaLaUN3 at the GGA-PBE level of DFT.

The structure in POSCAR format:
```
CaLaUN3
1.0
3.623 0.000 0.000
0.000 6.879 1.574
0.000 -0.590 9.143
N U Ca La
6 2 2 2
Cartesian
2.717 2.480 1.430
0.906 0.639 8.319
0.906 3.809 9.288
2.717 2.646 6.614
2.717 5.650 2.398
0.906 3.643 4.103
0.906 4.042 2.175
2.717 2.247 8.542
2.717 4.607 5.236
0.906 1.682 5.481
0.906 0.532 1.519
2.717 5.757 9.199
```

- Energy relative to the elements, uncorrected: -1214 meV per atom
- Space-group type: No. 11
- D(E_F): 8.20 states/eV/cell

Entry 6:
Computed, not measured: a relaxed structure of LaSeCl2 at the GGA-PBE level of DFT.

The structure in POSCAR format:
```
LaSeCl2
1.0
7.599 0.393 -0.007
4.601 6.061 0.007
-5.705 -3.974 3.092
Cl La Se
2 1 1
Cartesian
11.013 5.825 0.000
7.288 3.855 0.000
3.997 -0.178 1.543
2.498 2.656 1.550
```

- Relative energy among the computed polymorphs: 46 meV per atom
- Energy relative to the elements, uncorrected: -1634 meV per atom
- Space-group type: No. 71
- D(E_F): 1.42 states/eV/cell

Entry 7:
Computed, not measured: a relaxed structure of CaAcCd2Hg5 at the GGA-PBE level of DFT.

The structure in POSCAR format:
```
CaAcCd2Hg5
1.0
-2.474 3.603 -3.330
-4.500 -4.628 -1.665
-1.033 2.807 8.338
Hg Ca Ac Cd
5 1 1 2
Cartesian
-4.121 0.527 3.632
-2.083 2.622 4.385
-5.924 -0.840 -1.041
0.000 0.000 0.000
-3.887 1.255 -0.288
-1.237 1.802 -1.665
-2.250 -2.314 -0.832
-1.631 0.828 2.108
-6.376 0.955 1.237
```

- Space-group type: No. 71
- Formation enthalpy at 0 K: -0.06 eV per atom
- D(E_F): 5.66 states/eV/cell

Entry 8:
Computed, not measured: a relaxed structure of Mg2NpIn9 at the GGA-PBE level of DFT.

The structure in POSCAR format:
```
Mg2NpIn9
1.0
-3.355 2.749 1.613
-1.831 0.254 -4.242
-7.885 -11.225 2.730
Mg In Np
2 9 1
Cartesian
-2.600 -3.702 0.900
-5.285 -7.524 1.830
-7.464 -9.195 0.146
-2.593 1.501 -1.315
-7.851 -5.984 0.506
-8.226 -7.948 3.073
-4.858 -5.486 -0.756
-2.252 -1.776 -1.658
-5.620 -4.238 2.171
-5.219 -2.238 -0.405
-3.014 -0.528 1.269
0.000 0.000 0.000
```

- Space-group type: No. 123
- Formation enthalpy at 0 K: 0.00 eV per atom
- D(E_F): 15.97 states/eV/cell

Entry 9:
Computed, not measured: a relaxed structure of ScHgIr at the GGA-PBE level of DFT.

The structure in POSCAR format:
```
ScHgIr
1.0
5.300 -0.004 0.004
4.187 3.249 0.005
1.113 0.379 3.231
Hg Ir Sc
1 1 1
Cartesian
9.479 3.243 0.012
3.764 1.286 2.211
6.845 2.341 1.026
```

- Relative energy among the computed polymorphs: 0 meV per atom
- Space-group type: No. 107
- Formation enthalpy at 0 K: -0.46 eV per atom
- D(E_F): 1.06 states/eV/cell

Entry 10:
Computed, not measured: a relaxed structure of Li2AlAgH at the GGA-PBE level of DFT.

The structure in POSCAR format:
```
Li2AlAgH
1.0
3.940 0.000 0.000
0.000 3.940 0.000
0.000 0.000 4.183
Ag Al H Li
1 1 1 2
Cartesian
0.000 0.000 2.092
1.970 1.970 2.092
0.000 0.000 0.000
0.000 1.970 0.000
1.970 0.000 0.000
```

- Relative energy among the computed polymorphs: 42 meV per atom
- Space-group type: No. 123
- D(E_F): 0.96 states/eV/cell

Entry 11:
Computed, not measured: a relaxed structure of Ac2Pr15Er2 at the GGA-PBE level of DFT.

The structure in POSCAR format:
```
Ac2Pr15Er2
1.0
-1.737 -0.062 8.899
-3.730 -8.227 0.794
7.184 -4.681 2.949
Pr Er Ac
15 2 2
Cartesian
4.000 -5.715 2.320
-0.206 -4.792 8.930
2.884 -4.243 7.617
4.092 -7.018 6.063
0.866 -1.409 7.163
-3.148 -5.845 3.159
-1.166 -8.726 5.025
-2.318 -2.444 6.535
-0.546 -7.192 1.423
-2.375 -5.951 6.579
-1.865 -4.113 0.397
-0.868 -0.031 4.450
4.582 -3.333 4.685
3.592 -2.340 1.474
1.924 -8.177 3.712
0.160 -1.212 1.181
1.557 -11.757 11.461
1.159 -8.753 8.533
0.558 -4.216 4.110
```

- Space-group type: No. 166
- Formation enthalpy at 0 K: 0.21 eV per atom
- D(E_F): 32.65 states/eV/cell

Entry 12:
Computed, not measured: a relaxed structure of AcTbCdPd at the GGA-PBE level of DFT.

The structure in POSCAR format:
```
AcTbCdPd
1.0
5.377 0.000 0.000
2.688 4.656 0.000
2.688 1.552 4.390
Tb Pd Cd Ac
1 1 1 1
Cartesian
8.065 4.656 3.293
5.377 3.104 2.195
0.000 0.000 0.000
2.688 1.552 1.098
```

- Space-group type: No. 216
- Formation enthalpy at 0 K: -0.44 eV per atom
- D(E_F): 3.02 states/eV/cell

Entry 13:
Computed, not measured: a relaxed structure of MnAsBr2 at the GGA-PBE level of DFT.

The structure in POSCAR format:
```
MnAsBr2
1.0
-2.110 -2.481 1.315
1.494 -0.560 -3.129
8.118 -4.429 4.669
Br Mn As
2 1 1
Cartesian
0.617 -0.337 0.355
3.442 -1.878 1.980
1.721 -2.628 0.260
5.780 -4.843 2.595
```

- Relative energy among the computed polymorphs: 363 meV per atom
- Energy relative to the elements, uncorrected: 135 meV per atom
- Space-group type: No. 65
- D(E_F): 1.21 states/eV/cell

Entry 14:
Computed, not measured: a relaxed structure of ZnCd3 at the GGA-PBE level of DFT.

The structure in POSCAR format:
```
ZnCd3
1.0
-3.230 -2.928 0.415
2.133 -1.881 3.331
-2.049 2.659 2.813
Cd Zn
3 1
Cartesian
-2.640 -0.135 1.614
0.000 0.000 0.000
0.042 0.389 3.072
-0.549 -2.405 1.873
```

- Space-group type: No. 221
- Formation enthalpy at 0 K: 0.07 eV per atom
- D(E_F): 1.48 states/eV/cell

Entry 15:
Computed, not measured: a relaxed structure of AgBPd2 at the GGA-PBE level of DFT.

The structure in POSCAR format:
```
AgBPd2
1.0
3.076 0.000 0.000
1.538 2.664 0.000
1.538 0.888 7.015
Ag Pd B
1 2 1
Cartesian
3.076 1.776 3.508
4.614 2.664 5.827
1.538 0.888 1.188
0.000 0.000 0.000
```

- Space-group type: No. 166
- Formation enthalpy at 0 K: -0.14 eV per atom
- D(E_F): 0.59 states/eV/cell

Entry 16:
Computed, not measured: a relaxed structure of LiPu3Rh2 at the GGA-PBE level of DFT.

The structure in POSCAR format:
```
LiPu3Rh2
1.0
-3.518 0.066 3.249
4.450 -2.995 4.879
1.609 7.991 -1.950
Rh Li Pu
4 2 6
Cartesian
1.476 4.642 1.504
-1.160 1.917 2.235
1.065 0.419 4.674
3.701 3.145 3.943
2.225 -1.498 2.439
0.000 0.000 0.000
1.890 1.695 2.011
1.579 -2.213 5.284
-1.573 4.865 1.727
-0.646 -0.716 2.844
0.652 3.367 4.167
4.115 0.197 4.450
```

- Space-group type: No. 65
- Formation enthalpy at 0 K: -0.17 eV per atom
- D(E_F): 54.31 states/eV/cell

Entry 17:
Computed, not measured: a relaxed structure of Ta2HPtAu at the GGA-PBE level of DFT.

The structure in POSCAR format:
```
Ta2HPtAu
1.0
-0.486 -4.081 0.605
1.434 0.404 3.878
-3.815 0.654 1.343
H Ta Pt Au
1 2 1 1
Cartesian
0.000 0.000 0.000
-0.243 -2.040 0.302
0.717 0.202 1.939
-1.907 0.327 0.671
-1.433 -1.512 2.913
```

- Relative energy among the computed polymorphs: 0 meV per atom
- Space-group type: No. 123
- D(E_F): 1.84 states/eV/cell

Entry 18:
Computed, not measured: a relaxed structure of CaSc2Co at the GGA-PBE level of DFT.

The structure in POSCAR format:
```
CaSc2Co
1.0
8.955 -0.012 -0.007
8.189 3.623 -0.007
8.189 1.725 3.186
Sc Ca Co
2 1 1
Cartesian
11.805 2.486 1.478
0.862 0.181 0.108
6.333 1.334 0.793
18.999 4.002 2.379
```

- Relative energy among the computed polymorphs: 82 meV per atom
- Space-group type: No. 166
- Formation enthalpy at 0 K: 0.00 eV per atom
- D(E_F): 4.76 states/eV/cell

Entry 19:
Computed, not measured: a relaxed structure of CdGeSb2I at the GGA-PBE level of DFT.

The structure in POSCAR format:
```
CdGeSb2I
1.0
-5.254 1.424 0.048
-0.440 -1.797 5.120
1.425 5.193 1.945
Sb I Ge Cd
2 1 1 1
Cartesian
-2.627 0.712 0.024
-0.220 -0.898 2.560
0.713 2.597 0.972
0.000 0.000 0.000
-2.135 2.410 3.556
```

- Relative energy among the computed polymorphs: 0 meV per atom
- Energy relative to the elements, uncorrected: 516 meV per atom
- Space-group type: No. 123
- D(E_F): 4.72 states/eV/cell

Entry 20:
Computed, not measured: a relaxed structure of Cs2SbBr6 at the GGA-PBE level of DFT.

The structure in POSCAR format:
```
Cs2SbBr6
1.0
-2.488 -5.495 -3.237
6.838 -1.044 -3.584
5.470 -4.471 3.284
Br Cs Sb
6 2 1
Cartesian
6.281 -5.293 0.817
0.135 -5.194 -2.565
3.539 -5.718 -4.355
9.685 -5.816 -0.973
6.964 -3.583 -2.608
2.857 -7.427 -0.930
3.505 -3.137 -0.867
6.316 -7.873 -2.671
0.000 0.000 0.000
```

- Energy relative to the elements, uncorrected: -1114 meV per atom
- Space-group type: No. 12
- D(E_F): 3.49 states/eV/cell